[1]
DFT (GGA-PBE) results for InHg2Se2 after structural relaxation. Values from VASP.

Cell and atoms, written as Quantum ESPRESSO input:
```
&SYSTEM
  ibrav = 0, nat = 5, ntyp = 3
/
ATOMIC_SPECIES
In 114.82 In.upf
Hg 200.59 Hg.upf
Se 78.96 Se.upf
CELL_PARAMETERS angstrom
-2.7277 2.7277 4.6329
2.7277 -2.7277 4.6329
2.7277 2.7277 -4.6329
ATOMIC_POSITIONS crystal
In 0.0000 0.0000 0.0000
Hg 0.3469 0.3469 0.0000
Hg 0.6531 0.6531 0.0000
Se 0.2500 0.7500 0.5000
Se 0.7500 0.2500 0.5000
```

E_form (uncorrected) in meV/atom: 19
Relative energy among the computed polymorphs in meV per atom: 76.3
ρ in g/cm³: 8.1
Symmetry: I4/mmm, No. 139

[2]
DFT (GGA-PBE) results for In3HgSe after structural relaxation. Values from VASP.

Cell and atoms, written as Quantum ESPRESSO input:
```
&SYSTEM
  ibrav = 0, nat = 5, ntyp = 3
/
ATOMIC_SPECIES
In 114.82 In.upf
Hg 200.59 Hg.upf
Se 78.96 Se.upf
CELL_PARAMETERS angstrom
5.4881 0.0000 0.0000
0.0000 5.4881 0.0000
0.0000 0.0000 5.4881
ATOMIC_POSITIONS crystal
In 0.0000 0.0000 0.5000
In 0.0000 0.5000 0.0000
In 0.5000 0.0000 0.0000
Hg 0.0000 0.0000 0.0000
Se 0.5000 0.5000 0.5000
```

E_form (uncorrected) in meV/atom: 213
Relative energy among the computed polymorphs in meV per atom: 356.0
ρ in g/cm³: 6.3
Symmetry: Pm-3m, No. 221

[3]
DFT (GGA-PBE) results for InHg2Se3 after structural relaxation. Values from VASP.

Cell and atoms, written as Quantum ESPRESSO input:
```
&SYSTEM
  ibrav = 0, nat = 6, ntyp = 3
/
ATOMIC_SPECIES
In 114.82 In.upf
Hg 200.59 Hg.upf
Se 78.96 Se.upf
CELL_PARAMETERS angstrom
4.5404 0.0000 0.0000
-2.2702 3.9321 0.0000
0.0000 0.0000 10.7758
ATOMIC_POSITIONS crystal
In 0.0000 0.0000 0.0000
Hg 0.3333 0.6667 0.6507
Hg 0.6667 0.3333 0.3300
Se 0.0000 0.0000 0.2494
Se 0.3333 0.6667 0.9204
Se 0.6667 0.3333 0.5834
```

E_form (uncorrected) in meV/atom: -256
ρ in g/cm³: 6.5
Symmetry: P3m1, No. 156

[4]
DFT (GGA-PBE) results for In2HgSe3 after structural relaxation. Values from VASP.

Cell and atoms, written as Quantum ESPRESSO input:
```
&SYSTEM
  ibrav = 0, nat = 12, ntyp = 3
/
ATOMIC_SPECIES
In 114.82 In.upf
Hg 200.59 Hg.upf
Se 78.96 Se.upf
CELL_PARAMETERS angstrom
6.8570 -3.9571 0.0000
6.8570 3.9571 0.0000
-0.0085 0.0000 5.9365
ATOMIC_POSITIONS crystal
In 0.0000 0.0000 0.0000
In 0.0000 0.5000 0.0000
In 0.5000 0.0000 0.0000
In 0.5000 0.5000 0.0000
Hg 0.1664 0.1664 0.6297
Hg 0.8336 0.8336 0.3703
Se 0.1571 0.6713 0.7428
Se 0.3287 0.3287 0.2571
Se 0.3287 0.8429 0.2572
Se 0.6713 0.1571 0.7428
Se 0.6713 0.6713 0.7429
Se 0.8429 0.3287 0.2572
```

E_form (uncorrected) in meV/atom: -333
Relative energy among the computed polymorphs in meV per atom: 83.4
ρ in g/cm³: 6.9
Symmetry: C2/m, No. 12

[5]
DFT (GGA-PBE) results for InHg2Se after structural relaxation. Values from VASP.

Cell and atoms, written as Quantum ESPRESSO input:
```
&SYSTEM
  ibrav = 0, nat = 4, ntyp = 3
/
ATOMIC_SPECIES
In 114.82 In.upf
Hg 200.59 Hg.upf
Se 78.96 Se.upf
CELL_PARAMETERS angstrom
3.0377 0.0000 0.0000
0.0000 5.5068 0.0000
-0.0054 0.0000 6.2303
ATOMIC_POSITIONS crystal
In 0.0000 0.0000 0.0000
Hg 0.4981 0.5000 0.7504
Hg 0.5019 0.5000 0.2496
Se 0.5000 0.0000 0.5000
```

E_form (uncorrected) in meV/atom: 29
ρ in g/cm³: 9.5
Symmetry: P2/m, No. 10

[6]
DFT (GGA-PBE) results for In2Hg4Se after structural relaxation. Values from VASP.

Cell and atoms, written as Quantum ESPRESSO input:
```
&SYSTEM
  ibrav = 0, nat = 7, ntyp = 3
/
ATOMIC_SPECIES
In 114.82 In.upf
Hg 200.59 Hg.upf
Se 78.96 Se.upf
CELL_PARAMETERS angstrom
3.6382 -2.0573 0.0000
3.6382 2.0573 0.0000
-2.2545 0.0000 13.2891
ATOMIC_POSITIONS crystal
In 0.2106 0.2106 0.1312
In 0.7894 0.7894 0.8688
Hg 0.0742 0.0742 0.7193
Hg 0.3587 0.3587 0.5740
Hg 0.6413 0.6413 0.4260
Hg 0.9258 0.9258 0.2807
Se 0.5000 0.5000 0.0000
```

E_form (uncorrected) in meV/atom: -138
ρ in g/cm³: 9.3
Symmetry: C2/m, No. 12

[7]
DFT (GGA-PBE) results for In4Hg5Se after structural relaxation. Values from VASP.

Cell and atoms, written as Quantum ESPRESSO input:
```
&SYSTEM
  ibrav = 0, nat = 10, ntyp = 3
/
ATOMIC_SPECIES
In 114.82 In.upf
Hg 200.59 Hg.upf
Se 78.96 Se.upf
CELL_PARAMETERS angstrom
4.2105 0.0000 0.0000
0.0001 8.2713 0.0000
2.0720 0.0249 8.3991
ATOMIC_POSITIONS crystal
In 0.0002 0.2433 0.9996
In 0.9998 0.7567 0.0004
In 0.3230 0.9998 0.3487
In 0.6770 0.0002 0.6513
Hg 0.1773 0.6847 0.6419
Hg 0.1778 0.3157 0.6408
Hg 0.5000 0.5000 0.0000
Hg 0.8222 0.6843 0.3592
Hg 0.8227 0.3153 0.3581
Se 0.5000 0.0000 0.0000
```

E_form (uncorrected) in meV/atom: -41
ρ in g/cm³: 8.7
Symmetry: P-1, No. 2

[8]
DFT (GGA-PBE) results for In4HgSe3 after structural relaxation. Values from VASP.

Cell and atoms, written as Quantum ESPRESSO input:
```
&SYSTEM
  ibrav = 0, nat = 8, ntyp = 3
/
ATOMIC_SPECIES
In 114.82 In.upf
Hg 200.59 Hg.upf
Se 78.96 Se.upf
CELL_PARAMETERS angstrom
0.0000 4.2370 5.9337
4.2307 0.0000 5.9337
4.2307 4.2370 0.0000
ATOMIC_POSITIONS crystal
In 0.0000 0.0000 0.5000
In 0.2436 0.2436 0.7564
In 0.5000 0.5000 0.0000
In 0.7564 0.7564 0.2436
Hg 0.5000 0.5000 0.5000
Se 0.0000 0.0000 0.0000
Se 0.2500 0.2500 0.2500
Se 0.7500 0.7500 0.7500
```

E_form (uncorrected) in meV/atom: -291
Relative energy among the computed polymorphs in meV per atom: 27.5
ρ in g/cm³: 7.0
Symmetry: Fmmm, No. 69

> Look up the E_form (uncorrected) of the sixth one.

-138 meV/atom